Below is an optimized crystal structure of SiBrCl2, with properties calculated at the PBE-GGA level.

```
SiBrCl2
1.0
6.551 0.000 0.000
0.000 3.406 0.000
-2.934 0.000 6.110
Si Br Cl
1 1 2
Direct
0.000 0.000 0.000
0.228 0.500 0.289
0.699 0.000 0.031
0.907 0.500 0.723
```

Properties
Symmetry: Pm
Uncorrected formation energy, eV per formula unit: -2.41
Energy above the lowest structure with this stoichiometry, meV/atom: 0
DFT total energy, eV per cell: -13.2